{"formula": "ZnCdCl2", "functional": "GGA-PBEsol", "state": "relaxed", "polymorph_energy_mev_per_atom": 0, "vol_a3_per_cell": 82, "sg": "P4mm", "e_form_raw_ev_per_atom": -0.40, "cell": [[3.233, 0.000, 0.000], [0.000, 3.233, 0.000], [0.000, 0.000, 7.844]], "species": ["Zn", "Cd", "Cl", "Cl"], "frac_coords": [[0.000, 0.000, 0.000], [0.500, 0.500, 0.269], [0.000, 0.000, 0.470], [0.500, 0.500, 0.837]]}

---

{"formula": "Zn2CdCl", "functional": "GGA-PBEsol", "state": "relaxed", "polymorph_energy_mev_per_atom": 157, "vol_a3_per_cell": 81, "sg": "F-43m", "e_form_raw_ev_per_atom": 0.18, "cell": [[0.000, 3.438, 3.438], [3.438, 0.000, 3.438], [3.438, 3.438, 0.000]], "species": ["Zn", "Zn", "Cd", "Cl"], "frac_coords": [[0.000, 0.000, 0.000], [0.250, 0.250, 0.250], [0.500, 0.500, 0.500], [0.750, 0.750, 0.750]]}

---

{"formula": "ZnCdCl2", "functional": "GGA-PBEsol", "state": "relaxed", "polymorph_energy_mev_per_atom": 222, "vol_a3_per_cell": 80, "sg": "Fm-3m", "e_form_raw_ev_per_atom": -0.18, "cell": [[0.000, 3.419, 3.419], [3.419, 0.000, 3.419], [3.419, 3.419, 0.000]], "species": ["Zn", "Cd", "Cl", "Cl"], "frac_coords": [[0.000, 0.000, 0.000], [0.500, 0.500, 0.500], [0.250, 0.250, 0.250], [0.750, 0.750, 0.750]]}